1.
# PmPrBi2, relaxed, DFT PBE
data_PmPrBi2
_chemical_formula_sum 'Pm1 Pr1 Bi2'
_cell_length_a 4.5821
_cell_length_b 4.5821
_cell_length_c 6.4798
_cell_angle_alpha 90.00
_cell_angle_beta 90.00
_cell_angle_gamma 90.00
_space_group_name_H-M_alt 'P 1'
_space_group_IT_number 1
_space_group_name_Hall 'P 1'
loop_
_atom_site_label
_atom_site_type_symbol
_atom_site_fract_x
_atom_site_fract_y
_atom_site_fract_z
Bi1 Bi 0.5000 0.5000 0.0000
Bi2 Bi 0.0000 0.0000 0.5000
Pr1 Pr 0.5000 0.5000 0.5000
Pm1 Pm 0.0000 0.0000 0.0000
# crystal system = tetragonal
# space group = No. 123
# total moment = 0.007 μB/f.u.
# energy = -5.368 eV/atom


2.
# RbPmBi, relaxed, DFT PBE
data_RbPmBi
_chemical_formula_sum 'Rb1 Pm1 Bi1'
_cell_length_a 5.5500
_cell_length_b 5.5500
_cell_length_c 5.5500
_cell_angle_alpha 60.00
_cell_angle_beta 60.00
_cell_angle_gamma 60.00
_space_group_name_H-M_alt 'P 1'
_space_group_IT_number 1
_space_group_name_Hall 'P 1'
loop_
_atom_site_label
_atom_site_type_symbol
_atom_site_fract_x
_atom_site_fract_y
_atom_site_fract_z
Rb1 Rb 0.7500 0.7500 0.7500
Pm1 Pm 0.0000 0.0000 0.0000
Bi1 Bi 0.2500 0.2500 0.2500
# crystal system = cubic
# space group = No. 216
# total moment = 0.871 μB/f.u.
# energy = -3.175 eV/atom


3.
# Pm2BiS, relaxed, DFT PBE
data_Pm2BiS
_chemical_formula_sum 'Pm2 Bi1 S1'
_cell_length_a 4.3443
_cell_length_b 4.3443
_cell_length_c 6.1468
_cell_angle_alpha 90.00
_cell_angle_beta 90.00
_cell_angle_gamma 90.00
_space_group_name_H-M_alt 'P 1'
_space_group_IT_number 1
_space_group_name_Hall 'P 1'
loop_
_atom_site_label
_atom_site_type_symbol
_atom_site_fract_x
_atom_site_fract_y
_atom_site_fract_z
Pm1 Pm 0.0000 0.0000 0.5000
Pm2 Pm 0.5000 0.5000 0.0000
S1 S 0.5000 0.5000 0.5000
Bi1 Bi 0.0000 0.0000 0.0000
# crystal system = tetragonal
# space group = No. 123
# total moment = 0.010 μB/f.u.
# energy = -5.754 eV/atom


4.
# Pm2BiSb2, relaxed, DFT PBE
data_Pm2BiSb2
_chemical_formula_sum 'Pm4 Bi2 Sb4'
_cell_length_a 11.9462
_cell_length_b 9.4587
_cell_length_c 8.0344
_cell_angle_alpha 85.73
_cell_angle_beta 52.15
_cell_angle_gamma 42.12
_space_group_name_H-M_alt 'P 1'
_space_group_IT_number 1
_space_group_name_Hall 'P 1'
loop_
_atom_site_label
_atom_site_type_symbol
_atom_site_fract_x
_atom_site_fract_y
_atom_site_fract_z
Sb1 Sb 0.1250 0.6250 0.1250
Sb2 Sb 0.6250 0.1250 0.1250
Sb3 Sb 0.1250 0.1250 0.6250
Sb4 Sb 0.1250 0.1250 0.1250
Bi1 Bi 0.2500 0.2500 0.2500
Bi2 Bi 0.0000 0.0000 0.0000
Pm1 Pm 0.9074 0.5926 0.9074
Pm2 Pm 0.3426 0.6574 0.3426
Pm3 Pm 0.6574 0.3426 0.6574
Pm4 Pm 0.5926 0.9074 0.5926
# crystal system = orthorhombic
# space group = No. 70
# total moment = 0.008 μB/f.u.
# energy = -4.636 eV/atom